1) Compound: Na2YAu
Source: Alexandria via LeMat-Bulk
Functional: GGA-PBE
Structure: relaxed

- Total magnetic moment: 0.00 μB per formula unit
- Fermi-level density of states: 0.751 states/eV per atom

Geometry as POSCAR:
```
Na2YAu
1.0
-4.504 4.504 2.913
4.504 -4.504 2.913
4.504 4.504 -2.913
Na Y Au
4 2 2
direct
0.062 0.125 0.437
0.375 0.938 0.063
0.688 0.625 0.563
0.875 0.312 0.937
0.250 0.750 0.500
0.500 0.500 0.000
0.000 0.000 0.000
0.750 0.250 0.500
```

2) Compound: Na2YAu
Source: Alexandria via LeMat-Bulk
Functional: GGA-PBE
Structure: relaxed

- Total magnetic moment: 0.00 μB per formula unit
- Fermi-level density of states: 1.718 states/eV per atom

Geometry as POSCAR:
```
Na2YAu
1.0
0.000 3.636 3.636
3.636 0.000 3.636
3.636 3.636 0.000
Na Y Au
2 1 1
direct
0.250 0.250 0.250
0.750 0.750 0.750
0.000 0.000 0.000
0.500 0.500 0.500
```

Which one sits at the bottom of the stability order? 2) does.

1) Compound: NaZnAu3
Source: Alexandria via LeMat-Bulk
Functional: GGA-PBE
Structure: relaxed

- Total magnetic moment: 0.00 μB per formula unit
- Fermi-level density of states: 0.172 states/eV per atom

Geometry as POSCAR:
```
NaZnAu3
1.0
4.940 0.000 0.000
0.000 4.940 0.000
0.000 0.000 4.940
Na Zn Au
1 1 3
direct
0.000 0.000 0.000
0.500 0.500 0.500
0.000 0.500 0.500
0.500 0.000 0.500
0.500 0.500 0.000
```

2) Compound: NaZnAu3
Source: Alexandria via LeMat-Bulk
Functional: GGA-PBE
Structure: relaxed

- Total magnetic moment: 0.00 μB per formula unit
- Fermi-level density of states: 0.289 states/eV per atom

Geometry as POSCAR:
```
NaZnAu3
1.0
2.811 -6.528 0.000
2.811 6.528 0.000
0.000 0.000 5.401
Na Zn Au
2 2 6
direct
0.100 0.900 0.750
0.900 0.100 0.250
0.500 0.500 0.000
0.500 0.500 0.500
0.107 0.387 0.750
0.325 0.675 0.250
0.387 0.107 0.250
0.613 0.893 0.750
0.675 0.325 0.750
0.893 0.613 0.250
```

Which one sits at the bottom of the stability order? 1) does.

1) Compound: NaZnAu3
Source: Alexandria via LeMat-Bulk
Functional: GGA-PBE
Structure: relaxed

- Total magnetic moment: 0.00 μB per formula unit
- Fermi-level density of states: 0.559 states/eV per atom

Geometry as POSCAR:
```
NaZnAu3
1.0
4.990 0.000 0.000
0.000 4.990 0.000
0.000 0.000 4.990
Na Zn Au
1 1 3
direct
0.000 0.000 0.000
0.500 0.500 0.500
0.000 0.000 0.500
0.000 0.500 0.000
0.500 0.000 0.000
```

2) Compound: NaZnAu3
Source: Alexandria via LeMat-Bulk
Functional: GGA-PBE
Structure: relaxed

- Total magnetic moment: 0.00 μB per formula unit
- Fermi-level density of states: 0.170 states/eV per atom

Geometry as POSCAR:
```
NaZnAu3
1.0
6.642 0.000 0.000
-3.321 5.752 0.000
0.000 0.000 5.382
Na Zn Au
2 2 6
direct
0.333 0.667 0.250
0.667 0.333 0.750
0.000 0.000 0.000
0.000 0.000 0.500
0.194 0.388 0.750
0.194 0.806 0.750
0.388 0.194 0.250
0.612 0.806 0.750
0.806 0.194 0.250
0.806 0.612 0.250
```

Which one sits at the bottom of the stability order? 1) does.

1) Compound: Na2Zn2Au
Source: Alexandria via LeMat-Bulk
Functional: GGA-PBE
Structure: relaxed

- Total magnetic moment: 0.00 μB per formula unit
- Fermi-level density of states: 0.339 states/eV per atom

Geometry as POSCAR:
```
Na2Zn2Au
1.0
6.745 0.000 0.000
0.000 6.745 0.000
0.000 0.000 4.878
Na Zn Au
4 4 2
direct
0.180 0.320 0.000
0.320 0.820 0.000
0.680 0.180 0.000
0.820 0.680 0.000
0.134 0.634 0.500
0.366 0.134 0.500
0.634 0.866 0.500
0.866 0.366 0.500
0.000 0.000 0.500
0.500 0.500 0.500
```

2) Compound: Na2Zn2Au
Source: Alexandria via LeMat-Bulk
Functional: GGA-PBE
Structure: relaxed

- Total magnetic moment: 0.00 μB per formula unit
- Fermi-level density of states: 0.423 states/eV per atom

Geometry as POSCAR:
```
Na2Zn2Au
1.0
-2.185 2.185 13.494
2.185 -2.185 13.494
2.185 2.185 -13.494
Na Zn Au
4 4 2
direct
0.048 0.298 0.750
0.298 0.048 0.250
0.702 0.952 0.750
0.952 0.702 0.250
0.177 0.427 0.750
0.427 0.177 0.250
0.573 0.823 0.750
0.823 0.573 0.250
0.375 0.625 0.750
0.625 0.375 0.250
```

Which one sits at the bottom of the stability order? 2) does.

1) Compound: Na2Zn2Au
Source: Alexandria via LeMat-Bulk
Functional: GGA-PBE
Structure: relaxed

- Total magnetic moment: 0.00 μB per formula unit
- Fermi-level density of states: 0.349 states/eV per atom

Geometry as POSCAR:
```
Na2Zn2Au
1.0
-1.793 1.793 8.933
1.793 -1.793 8.933
1.793 1.793 -8.933
Na Zn Au
2 2 1
direct
0.096 0.096 0.000
0.904 0.904 0.000
0.250 0.750 0.500
0.750 0.250 0.500
0.500 0.500 0.000
```

2) Compound: Na2Zn2Au
Source: Alexandria via LeMat-Bulk
Functional: GGA-PBE
Structure: relaxed

- Total magnetic moment: 0.00 μB per formula unit
- Fermi-level density of states: 0.470 states/eV per atom

Geometry as POSCAR:
```
Na2Zn2Au
1.0
4.601 -3.528 0.000
4.601 3.528 0.000
0.000 0.000 7.458
Na Zn Au
4 4 2
direct
0.191 0.191 0.000
0.191 0.191 0.500
0.809 0.809 0.000
0.809 0.809 0.500
0.336 0.664 0.589
0.336 0.664 0.911
0.664 0.336 0.089
0.664 0.336 0.411
0.311 0.689 0.250
0.689 0.311 0.750
```

Which one sits at the bottom of the stability order? 1) does.

1) Compound: NaZn4Au2
Source: Alexandria via LeMat-Bulk
Functional: GGA-PBE
Structure: relaxed

- Total magnetic moment: 0.00 μB per formula unit
- Fermi-level density of states: 0.209 states/eV per atom

Geometry as POSCAR:
```
NaZn4Au2
1.0
7.664 0.000 0.000
0.000 7.664 0.000
0.000 0.000 4.330
Na Zn Au
2 8 4
direct
0.000 0.000 0.000
0.500 0.500 0.500
0.100 0.358 0.500
0.142 0.600 0.000
0.358 0.100 0.500
0.400 0.858 0.000
0.600 0.142 0.000
0.642 0.900 0.500
0.858 0.400 0.000
0.900 0.642 0.500
0.220 0.780 0.500
0.280 0.280 0.000
0.720 0.720 0.000
0.780 0.220 0.500
```

2) Compound: NaZn4Au2
Source: Alexandria via LeMat-Bulk
Functional: GGA-PBE
Structure: relaxed

- Total magnetic moment: 0.00 μB per formula unit
- Fermi-level density of states: 0.381 states/eV per atom

Geometry as POSCAR:
```
NaZn4Au2
1.0
-2.515 2.515 6.698
2.515 -2.515 6.698
2.515 2.515 -6.698
Na Zn Au
1 4 2
direct
0.000 0.000 0.000
0.000 0.500 0.500
0.214 0.214 0.000
0.500 0.000 0.500
0.786 0.786 0.000
0.400 0.400 0.000
0.600 0.600 0.000
```

Which one sits at the bottom of the stability order? 2) does.